A plane-wave DFT calculation with GGA-PBE was carried out for a relaxed structure of BaHg4Ir.

Cell lengths 5.9631, 5.9631, 5.9631 Å; angles 60.00, 60.00, 60.00 degrees
With the nearest neighbours (Å) after each atom.
Fractional coordinates of all 6 atoms:
Ba1 0.0000 0.0000 0.0000  12 Hg 3.50, 4 Ir 3.65
Hg1 0.1288 0.6237 0.6237  6 Hg 2.95-3.01
Hg2 0.6237 0.1288 0.6237  6 Hg 2.95-3.01
Hg3 0.6237 0.6237 0.1288  6 Hg 2.95-3.01
Hg4 0.6237 0.6237 0.6237  6 Hg 2.95-3.01
Ir1 0.2500 0.2500 0.2500  12 Hg 3.49, 4 Ba 3.65

Mass density   12.54 g/cm3
Space group   F-43m
Formation energy from the elements   0.22 eV/atom



A plane-wave DFT calculation with GGA-PBE was carried out for a relaxed structure of Li2NpRh2O6.

Cell lengths 5.3484, 5.3484, 5.2366 Å; angles 90.81, 90.81, 120.29 degrees
With the nearest neighbours (Å) after each atom.
Fractional coordinates of all 11 atoms:
Li1 0.1658 0.8342 0.0000  6 O 2.18-2.28
Li2 0.8342 0.1658 0.0000  6 O 2.18-2.28
Np1 0.5000 0.5000 0.5000  6 O 2.23-2.24
Rh1 0.1665 0.8335 0.5000  6 O 2.10
Rh2 0.8335 0.1665 0.5000  6 O 2.10
O1 0.1421 0.4944 0.2718  2 Rh 2.10, 2 Li 2.18-2.28, 1 Np 2.23
O2 0.1515 0.1515 0.7283  2 Rh 2.10, 1 Np 2.24, 2 Li 2.26
O3 0.4944 0.1421 0.2718  2 Rh 2.10, 2 Li 2.18-2.28, 1 Np 2.23
O4 0.5056 0.8579 0.7282  2 Rh 2.10, 2 Li 2.18-2.28, 1 Np 2.23
O5 0.8485 0.8485 0.2717  2 Rh 2.10, 1 Np 2.24, 2 Li 2.26
O6 0.8579 0.5056 0.7282  2 Rh 2.10, 2 Li 2.18-2.28, 1 Np 2.23

Mass density   7.10 g/cm3
Space group   C2/m
E_form (uncorrected)   -1.69 eV/atom



A plane-wave DFT calculation with GGA-PBE was carried out for a relaxed structure of PmTlTe2.

Cell lengths 5.5971, 5.5971, 5.5971 Å; angles 60.00, 60.00, 60.00 degrees
With the nearest neighbours (Å) after each atom.
Fractional coordinates of all 4 atoms:
Pm1 0.0000 0.0000 0.0000  8 Te 3.43
Tl1 0.5000 0.5000 0.5000  8 Te 3.43
Te1 0.2500 0.2500 0.2500  4 Tl 3.43, 4 Pm 3.43
Te2 0.7500 0.7500 0.7500  4 Tl 3.43, 4 Pm 3.43

Energy above the lowest structure with this stoichiometry   240 meV/atom
Mass density   8.10 g/cm3
Space group   Fm-3m
E_form (uncorrected)   -0.84 eV/atom



A plane-wave DFT calculation with GGA-PBE was carried out for a relaxed structure of Tc2P.

Cell lengths 6.6529, 6.6529, 4.4205 Å; angles 90.00, 90.00, 155.07 degrees
With the nearest neighbours (Å) after each atom.
Fractional coordinates of all 6 atoms:
Tc1 0.0557 0.9443 0.7500  2 P 2.48, 2 Tc 2.64
Tc2 0.3724 0.6276 0.7500  4 P 2.46-2.54
Tc3 0.6276 0.3724 0.2500  4 P 2.46-2.54
Tc4 0.9443 0.0557 0.2500  2 P 2.48, 2 Tc 2.64
P1 0.2890 0.7110 0.2500  6 Tc 2.46-2.54
P2 0.7110 0.2890 0.7500  6 Tc 2.46-2.54

Energy above the lowest structure with this stoichiometry   176 meV/atom
Mass density   9.14 g/cm3
Space group   Cmcm
Formation energy from the elements   -0.26 eV/atom



A plane-wave DFT calculation with GGA-PBE was carried out for a relaxed structure of Tb2Sm2YTh.

Cell lengths 6.6326, 6.8062, 8.8287 Å; angles 90.00, 96.99, 90.00 degrees
With the nearest neighbours (Å) after each atom.
Fractional coordinates of all 12 atoms:
Tb1 0.1789 0.0001 0.1812  3 Tb 3.40-3.74, 2 Th 3.50-3.77, 3 Sm 3.51-3.63, 3 Y 3.62-3.80
Tb2 0.1789 0.4999 0.1812  3 Tb 3.40-3.74, 2 Th 3.50-3.77, 3 Sm 3.51-3.63, 3 Y 3.62-3.80
Tb3 0.8211 0.9999 0.8188  3 Tb 3.40-3.74, 2 Th 3.50-3.77, 3 Sm 3.51-3.63, 3 Y 3.62-3.80
Tb4 0.8211 0.5001 0.8188  3 Tb 3.40-3.74, 2 Th 3.50-3.77, 3 Sm 3.51-3.63, 3 Y 3.62-3.80
Sm1 0.2967 0.2500 0.8389  1 Sm 3.26, 3 Y 3.41-3.42, 4 Tb 3.57-3.63
Sm2 0.4319 0.2500 0.4963  3 Sm 3.26-3.52, 2 Th 3.31-3.32, 2 Tb 3.51, 1 Y 3.61
Sm3 0.5681 0.7500 0.5037  3 Sm 3.26-3.52, 2 Th 3.31-3.32, 2 Tb 3.51, 1 Y 3.61
Sm4 0.7033 0.7500 0.1611  1 Sm 3.26, 3 Y 3.41-3.42, 4 Tb 3.57-3.63
Y1 0.3362 0.7500 0.8534  1 Th 3.35, 4 Sm 3.41-3.61, 4 Tb 3.62-3.68
Y2 0.6638 0.2500 0.1466  1 Th 3.35, 4 Sm 3.41-3.61, 4 Tb 3.62-3.68
Th1 0.0675 0.7500 0.5072  3 Sm 3.31-3.66, 1 Y 3.35, 2 Tb 3.50, 2 Th 3.52
Th2 0.9325 0.2500 0.4928  3 Sm 3.31-3.66, 1 Y 3.35, 2 Tb 3.50, 2 Th 3.52

Mass density   7.89 g/cm3
Space group   P2_1/m
Formation energy from the elements   0.16 eV/atom



A plane-wave DFT calculation with GGA-PBE was carried out for a relaxed structure of Mn2Fe5GeMo2.

Cell lengths 8.1278, 8.1278, 3.7688 Å; angles 90.00, 90.00, 90.00 degrees
With the nearest neighbours (Å) after each atom.
Fractional coordinates of all 20 atoms:
Mn1 0.1322 0.3678 0.0000  3 Mo 2.36-2.40, 6 Fe 2.37-2.42
Mn2 0.3678 0.8678 0.0000  3 Mo 2.36-2.40, 6 Fe 2.37-2.42
Mn3 0.6322 0.1322 0.0000  3 Mo 2.36-2.40, 6 Fe 2.37-2.42
Mn4 0.8678 0.6322 0.0000  3 Mo 2.36-2.40, 6 Fe 2.37-2.42
Fe1 0.0000 0.5000 0.5000  4 Mn 2.42, 4 Fe 2.49, 4 Mo 2.65
Fe2 0.0713 0.2017 0.5000  2 Mn 2.37, 4 Fe 2.46-2.61, 2 Ge 2.56
Fe3 0.2017 0.9287 0.5000  2 Mn 2.37, 4 Fe 2.46-2.61, 2 Ge 2.56
Fe4 0.2983 0.4287 0.5000  2 Mn 2.37, 4 Fe 2.46-2.61, 2 Ge 2.56
Fe5 0.4287 0.7017 0.5000  2 Mn 2.37, 4 Fe 2.46-2.61, 2 Ge 2.56
Fe6 0.5000 0.0000 0.5000  4 Mn 2.42, 4 Fe 2.49, 4 Mo 2.65
Fe7 0.5713 0.2983 0.5000  2 Mn 2.37, 4 Fe 2.46-2.61, 2 Ge 2.56
Fe8 0.7017 0.5713 0.5000  2 Mn 2.37, 4 Fe 2.46-2.61, 2 Ge 2.56
Fe9 0.7983 0.0713 0.5000  2 Mn 2.37, 4 Fe 2.46-2.61, 2 Ge 2.56
Fe10 0.9287 0.7983 0.5000  2 Mn 2.37, 4 Fe 2.46-2.61, 2 Ge 2.56
Ge1 0.0000 0.0000 0.0000  8 Fe 2.56
Ge2 0.5000 0.5000 0.0000  8 Fe 2.56
Mo1 0.1621 0.6621 0.0000  3 Mn 2.36-2.40
Mo2 0.3379 0.1621 0.0000  3 Mn 2.36-2.40
Mo3 0.6621 0.8379 0.0000  3 Mn 2.36-2.40
Mo4 0.8379 0.3379 0.0000  3 Mn 2.36-2.40

Mass density   8.72 g/cm3
Space group   P4/mbm
Formation energy from the elements   0.15 eV/atom



Computed values of magnetic moment (unit: μB per formula unit) for the preceding records, in sequence: 0.000 2.981 0.000 0.000 0.000 4.119.